# LiZn4Cu5 | Alexandria via LeMat-Bulk | PBE-GGA | relaxed
data_LiZn4Cu5
_symmetry_space_group_name_H-M 'P 1'
_symmetry_Int_Tables_number 1
_symmetry_space_group_name_Hall 'P 1'
_cell_length_a 4.078
_cell_length_b 5.085
_cell_length_c 6.895
_cell_angle_alpha 71.08
_cell_angle_beta 73.22
_cell_angle_gamma 89.43
loop_
_atom_site_label
_atom_site_type_symbol
_atom_site_fract_x
_atom_site_fract_y
_atom_site_fract_z
Li1 Li 0.000 0.000 0.000
Zn1 Zn 0.200 0.305 0.600
Zn2 Zn 0.400 0.104 0.201
Zn3 Zn 0.600 0.896 0.799
Zn4 Zn 0.800 0.695 0.400
Cu1 Cu 0.000 0.500 0.000
Cu2 Cu 0.197 0.801 0.602
Cu3 Cu 0.405 0.602 0.195
Cu4 Cu 0.595 0.398 0.805
Cu5 Cu 0.803 0.199 0.398
# energy of formation from the pure elements = -1.025 eV/f.u.
# calculated volume = 128.94 Å³/cell
# SG = P-1 (2)
# distance to the lowest polymorph of the same formula = 0.0000 eV/atom



# Li2ZnCu | Alexandria via LeMat-Bulk | PBE-GGA | relaxed
data_Li2ZnCu
_symmetry_space_group_name_H-M 'P 1'
_symmetry_Int_Tables_number 1
_symmetry_space_group_name_Hall 'P 1'
_cell_length_a 3.257
_cell_length_b 4.167
_cell_length_c 8.254
_cell_angle_alpha 90.00
_cell_angle_beta 90.00
_cell_angle_gamma 90.00
loop_
_atom_site_label
_atom_site_type_symbol
_atom_site_fract_x
_atom_site_fract_y
_atom_site_fract_z
Li1 Li 0.000 0.000 0.240
Li2 Li 0.000 0.000 0.760
Li3 Li 0.500 0.500 0.240
Li4 Li 0.500 0.500 0.760
Zn1 Zn 0.000 0.500 0.500
Zn2 Zn 0.500 0.000 0.500
Cu1 Cu 0.000 0.500 0.000
Cu2 Cu 0.500 0.000 0.000
# energy of formation from the pure elements = -0.267 eV/f.u.
# calculated volume = 112.01 Å³/cell
# SG = Cmmm (65)



# Li9ZnCu4 | Alexandria via LeMat-Bulk | PBE-GGA | relaxed
data_Li9ZnCu4
_symmetry_space_group_name_H-M 'P 1'
_symmetry_Int_Tables_number 1
_symmetry_space_group_name_Hall 'P 1'
_cell_length_a 8.094
_cell_length_b 8.094
_cell_length_c 8.005
_cell_angle_alpha 90.00
_cell_angle_beta 90.00
_cell_angle_gamma 120.00
loop_
_atom_site_label
_atom_site_type_symbol
_atom_site_fract_x
_atom_site_fract_y
_atom_site_fract_z
Li1 Li 0.082 0.541 0.250
Li2 Li 0.188 0.377 0.554
Li3 Li 0.188 0.377 0.946
Li4 Li 0.188 0.812 0.554
Li5 Li 0.188 0.812 0.946
Li6 Li 0.377 0.188 0.054
Li7 Li 0.377 0.188 0.446
Li8 Li 0.459 0.541 0.250
Li9 Li 0.459 0.918 0.250
Li10 Li 0.541 0.082 0.750
Li11 Li 0.541 0.459 0.750
Li12 Li 0.623 0.812 0.554
Li13 Li 0.623 0.812 0.946
Li14 Li 0.812 0.188 0.054
Li15 Li 0.812 0.188 0.446
Li16 Li 0.812 0.623 0.054
Li17 Li 0.812 0.623 0.446
Li18 Li 0.918 0.459 0.750
Zn1 Zn 0.333 0.667 0.750
Zn2 Zn 0.667 0.333 0.250
Cu1 Cu 0.000 0.000 0.000
Cu2 Cu 0.000 0.000 0.500
Cu3 Cu 0.106 0.212 0.250
Cu4 Cu 0.106 0.894 0.250
Cu5 Cu 0.212 0.106 0.750
Cu6 Cu 0.788 0.894 0.250
Cu7 Cu 0.894 0.106 0.750
Cu8 Cu 0.894 0.788 0.750
# energy of formation from the pure elements = -0.498 eV/f.u.
# calculated volume = 454.15 Å³/cell
# SG = P6_3/mmc (194)



# LiZn2Cu6 | Alexandria via LeMat-Bulk | PBE-GGA | relaxed
data_LiZn2Cu6
_symmetry_space_group_name_H-M 'P 1'
_symmetry_Int_Tables_number 1
_symmetry_space_group_name_Hall 'P 1'
_cell_length_a 4.658
_cell_length_b 4.658
_cell_length_c 7.655
_cell_angle_alpha 113.75
_cell_angle_beta 113.75
_cell_angle_gamma 49.12
loop_
_atom_site_label
_atom_site_type_symbol
_atom_site_fract_x
_atom_site_fract_y
_atom_site_fract_z
Li1 Li 0.000 0.000 0.000
Zn1 Zn 0.331 0.331 0.440
Zn2 Zn 0.669 0.669 0.560
Cu1 Cu 0.004 0.004 0.673
Cu2 Cu 0.330 0.330 0.108
Cu3 Cu 0.336 0.336 0.782
Cu4 Cu 0.664 0.664 0.218
Cu5 Cu 0.670 0.670 0.892
Cu6 Cu 0.996 0.996 0.327
# energy of formation from the pure elements = -0.448 eV/f.u.
# calculated volume = 112.59 Å³/cell
# SG = C2/m (12)
# distance to the lowest polymorph of the same formula = 0.0000 eV/atom